BaTa4Te8 GGA-PBE relaxed; SG = C2/m
1.0
3.697 0.000 0.801
1.687 9.362 1.145
-0.281 -0.062 10.234
Ba Ta Te
1 4 8
Direct
0.516 0.002 0.967
0.355 0.847 0.442
0.830 0.502 0.837
0.201 0.501 0.097
0.676 0.156 0.492
0.140 0.348 0.372
0.554 0.676 0.216
0.477 0.327 0.718
0.892 0.655 0.562
0.866 0.994 0.274
0.203 0.707 0.886
0.166 0.009 0.659
0.828 0.296 0.047

***

BaTa2Te GGA-PBE relaxed; SG = F-43m
1.0
-0.733 -4.371 2.713
2.460 -0.693 4.524
-2.671 0.125 4.455
Ba Ta Te
1 2 1
Direct
0.500 0.500 0.500
0.000 0.000 0.000
0.250 0.250 0.250
0.750 0.750 0.750

***

BaTa2Te GGA-PBE relaxed; SG = R-3m
1.0
10.302 -0.009 -0.006
9.756 3.312 -0.006
9.756 1.606 2.896
Ba Ta Te
1 2 1
Direct
0.750 0.750 0.750
0.986 0.986 0.986
0.514 0.514 0.514
0.250 0.250 0.250

***

BaTa2Te GGA-PBE relaxed; SG = P2/m
1.0
-2.419 4.101 -2.229
-2.909 -2.150 -0.799
-2.763 1.061 4.950
Ba Ta Te
1 2 1
Direct
0.500 0.750 0.750
0.000 0.066 0.080
0.000 0.434 0.420
0.500 0.250 0.250

***

For the records above, the corresponding formation energy (no corrections) values read -0.40; 0.87; 0.85; 0.65 eV/atom.
For the records above, the corresponding density of states at the Fermi level values read 6.880; 5.168; 7.617; 3.700 states/eV per cell.